i.
VASP calculation (PBE) on a geometry-optimized PmGaPdPt structure.

* N(E_F): 2.7 states/eV/f.u.
* calculated density: 11.1 Mg/m³
* total magnetization: 0.0 μB/f.u.

Lattice parameters (Å, degrees): 6.750 6.750 6.750 90.00 90.00 90.00
Space group F-43m (No. 216)
Asymmetric unit:
Pm  0.000  0.000  0.000 [4 per cell]
Ga  0.000  0.000  0.500 [4 per cell]
Pd  0.250  0.250  0.750 [4 per cell]
Pt  0.250  0.250  0.250 [4 per cell]

=====

ii.
VASP calculation (PBE) on a geometry-optimized PmGaPdPt structure.

* N(E_F): 2.0 states/eV/f.u.
* calculated density: 10.6 Mg/m³
* total magnetization: 0.0 μB/f.u.

Lattice parameters (Å, degrees): 7.656 4.428 5.387 90.00 118.14 90.00
Space group Cm (No. 8)
Asymmetric unit:
Pm  0.000  0.000  0.000 [2 per cell]
Ga  0.008  0.500  0.523 [2 per cell]
Pd  0.287  0.500  0.362 [2 per cell]
Pt  0.213  0.000  0.638 [2 per cell]

=====

It is ii that is the most stable of them.

=====

i.
VASP calculation (PBE) on a geometry-optimized TbPmGaPd structure.

* N(E_F): 4.2 states/eV/f.u.
* calculated density: 8.3 Mg/m³
* total magnetization: 0.0 μB/f.u.

Lattice parameters (Å, degrees): 4.495 3.828 11.220 90.00 90.00 90.00
Space group Amm2 (No. 38)
Asymmetric unit:
Tb  0.000  0.000  0.000 [2 per cell]
Pm  0.500  0.000  0.285 [2 per cell]
Ga  0.000  0.000  0.714 [2 per cell]
Pd  0.500  0.000  0.565 [2 per cell]

=====

ii.
VASP calculation (PBE) on a geometry-optimized TbPmGaPd structure.

* N(E_F): 3.6 states/eV/f.u.
* calculated density: 8.5 Mg/m³
* total magnetization: 0.0 μB/f.u.

Lattice parameters (Å, degrees): 7.218 7.218 7.218 90.00 90.00 90.00
Space group F-43m (No. 216)
Asymmetric unit:
Tb  0.000  0.000  0.000 [4 per cell]
Pm  0.000  0.000  0.500 [4 per cell]
Ga  0.250  0.250  0.750 [4 per cell]
Pd  0.250  0.250  0.250 [4 per cell]

=====

It is i that is the most stable of them.

=====

i.
VASP calculation (PBE) on a geometry-optimized Pr4GaPd structure.

* N(E_F): 6.8 states/eV/f.u.
* calculated density: 6.5 Mg/m³
* total magnetization: 0.0 μB/f.u.

Lattice parameters (Å, degrees): 5.414 21.693 6.469 90.00 90.00 90.00
Space group Cmc2_1 (No. 36)
Asymmetric unit:
Pr  0.000  0.056  0.000 [4 per cell]
Pr  0.000  0.192  0.273 [4 per cell]
Pr  0.000  0.214  0.792 [4 per cell]
Pr  0.000  0.388  0.051 [4 per cell]
Ga  0.000  0.342  0.526 [4 per cell]
Pd  0.000  0.076  0.506 [4 per cell]

=====

ii.
VASP calculation (PBE) on a geometry-optimized Pr4GaPd structure.

* N(E_F): 7.3 states/eV/f.u.
* calculated density: 6.8 Mg/m³
* total magnetization: 0.0 μB/f.u.

Lattice parameters (Å, degrees): 6.385 7.085 8.523 90.00 109.63 90.00
Space group P2_1/m (No. 11)
Asymmetric unit:
Pr  0.006  0.001  0.238 [4 per cell]
Pr  0.410  0.250  0.614 [2 per cell]
Pr  0.426  0.250  0.098 [2 per cell]
Ga  0.214  0.750  0.554 [2 per cell]
Pd  0.230  0.750  0.058 [2 per cell]

=====

It is ii that is the most stable of them.

=====

i.
VASP calculation (PBE) on a geometry-optimized Pr3Ga2Pd7 structure.

* N(E_F): 4.4 states/eV/f.u.
* calculated density: 9.0 Mg/m³
* total magnetization: 0.0 μB/f.u.

Lattice parameters (Å, degrees): 4.139 4.139 28.247 90.00 90.00 90.00
Space group I4/mmm (No. 139)
Asymmetric unit:
Pr  0.000  0.000  0.000 [2 per cell]
Pr  0.000  0.000  0.175 [4 per cell]
Ga  0.000  0.000  0.372 [4 per cell]
Pd  0.000  0.000  0.281 [4 per cell]
Pd  0.000  0.000  0.500 [2 per cell]
Pd  0.000  0.500  0.078 [8 per cell]

=====

ii.
VASP calculation (PBE) on a geometry-optimized Pr3Ga2Pd7 structure.

* N(E_F): 3.4 states/eV/f.u.
* calculated density: 8.5 Mg/m³
* total magnetization: 0.0 μB/f.u.

Lattice parameters (Å, degrees): 4.220 29.525 4.114 90.00 90.00 90.00
Space group Cmmm (No. 65)
Asymmetric unit:
Pr  0.000  0.000  0.000 [2 per cell]
Pr  0.000  0.200  0.000 [4 per cell]
Ga  0.000  0.417  0.500 [4 per cell]
Pd  0.000  0.129  0.500 [4 per cell]
Pd  0.000  0.289  0.500 [4 per cell]
Pd  0.000  0.369  0.000 [4 per cell]
Pd  0.000  0.500  0.500 [2 per cell]

=====

It is i that is the most stable of them.